*a*
Pm2DyF8 PBE relaxed; space group = No. 12; spin magnetization = 0.09 μB/atom; volume = 17.38 A^3/atom
1.0
-0.581 0.326 -3.871
4.168 -4.624 0.978
-7.261 -4.021 0.752
F Pm Dy
8 2 1
Cartesian
0.273 -2.141 -2.214
-1.007 -4.598 -2.228
-3.947 -6.179 0.073
-5.379 -3.912 -1.514
-3.097 -7.217 -2.135
-2.666 -3.722 0.087
-0.577 -1.103 -0.006
1.705 -4.408 -0.627
-0.292 -3.436 -0.245
-3.382 -4.884 -1.896
-0.290 0.163 -1.935


*b*
Pm2DyF8 PBE relaxed; space group = No. 12; spin magnetization = 0.09 μB/atom; volume = 13.63 A^3/atom
1.0
-2.272 -2.986 0.345
4.510 -3.391 0.358
-0.994 3.904 6.650
F Pm Dy
8 2 1
Cartesian
0.724 -2.447 4.161
0.520 -0.026 3.193
0.445 -2.535 1.563
-2.168 0.027 6.521
-1.215 1.443 4.480
2.458 -3.916 2.874
0.799 0.062 5.791
3.412 -2.500 0.833
-1.064 -1.019 4.744
2.307 -1.454 2.610
-1.136 -1.493 0.173


Q: Which of them is the most stable? A: *b*.